Entry 1:
Density functional theory data (PBE) for a geometry-optimized As5Os3Au structure.

a = 5.4723 Å, b = 5.4723 Å, c = 6.9974 Å
α = 90.00°, β = 90.00°, γ = 120.00°
Space group P6/mmm (No. 191)
Symmetry-distinct sites (fractional):
As 0.0000 0.0000 0.0000 [1 per cell]
As 0.3333 0.6667 0.2822 [4 per cell]
Os 0.0000 0.5000 0.0000 [3 per cell]
Au 0.0000 0.0000 0.5000 [1 per cell]

Entry 2:
Density functional theory data (PBE) for a geometry-optimized PmZrMo structure.

a = 6.719 Å, b = 6.719 Å, c = 6.719 Å
α = 90.00°, β = 90.00°, γ = 90.00°
Space group F-43m (No. 216)
Symmetry-distinct sites (fractional):
Pm 0.000 0.000 0.000 [4 per cell]
Zr 0.250 0.250 0.750 [4 per cell]
Mo 0.000 0.000 0.500 [4 per cell]

Summary:
**Calculated formation energy**: 0.99 eV per atom

no.,calculated total energy (eV per atom)
1,-6.210
2,-7.061